A relaxed Tm3Bi2Se2 crystal. Source: Alexandria, functional PBE.

a b c (Å): 4.025 7.721 8.144
angles (deg): 113.48 104.31 90.00
Atoms (fractional coordinates):
Bi 0.375 0.179 0.750
Bi 0.625 0.821 0.250
Se 0.136 0.346 0.271
Se 0.864 0.654 0.729
Tm 0.000 0.500 0.000
Tm 0.735 0.265 0.469
Tm 0.265 0.735 0.531

Calculated values
Uncorrected formation energy (meV/atom): -1135
DFT total energy (eV per cell): -36.1